No. 1
Entry from Alexandria via LeMat-Bulk: an optimized crystal structure of ReSi2Se (PBE).

For the electronic total energy, the calculation gives -25.88 eV/f.u. The calculation puts the energy relative to the elements, uncorrected at 0.225 eV/atom. The magnetic moment is 0.000 μB/atom. For the volume, the calculation gives 139.5 Å³/cell.

Structure (CIF):
```
data_ReSi2Se
_symmetry_space_group_name_H-M 'I m m 2'
_symmetry_Int_Tables_number 44
_symmetry_space_group_name_Hall 'I 2 -2'
_cell_length_a 3.028
_cell_length_b 3.682
_cell_length_c 12.510
_cell_angle_alpha 90.00
_cell_angle_beta 90.00
_cell_angle_gamma 90.00
loop_
_atom_site_label
_atom_site_type_symbol
_atom_site_fract_x
_atom_site_fract_y
_atom_site_fract_z
Re1 Re 0.000 0.000 0.000
Si1 Si 0.000 0.000 0.437
Si2 Si 0.000 0.500 0.308
Se1 Se 0.000 0.500 0.659
```



No. 2
Entry from Alexandria via LeMat-Bulk: an optimized crystal structure of MnPSe2 (PBE).

For the electronic total energy, the calculation gives -19.34 eV/f.u. The calculation puts the energy relative to the elements, uncorrected at 0.552 eV/atom. The magnetic moment is 0.808 μB/atom. For the volume, the calculation gives 276.8 Å³/cell.

Structure (CIF):
```
data_MnPSe2
_symmetry_space_group_name_H-M 'F -4 3 m'
_symmetry_Int_Tables_number 216
_symmetry_space_group_name_Hall 'F -4 2 3'
_cell_length_a 6.517
_cell_length_b 6.517
_cell_length_c 6.517
_cell_angle_alpha 90.00
_cell_angle_beta 90.00
_cell_angle_gamma 90.00
loop_
_atom_site_label
_atom_site_type_symbol
_atom_site_fract_x
_atom_site_fract_y
_atom_site_fract_z
Mn1 Mn 0.000 0.000 0.000
P1 P 0.250 0.250 0.250
Se1 Se 0.000 0.000 0.500
Se2 Se 0.250 0.250 0.750
```



No. 3
Entry from Alexandria via LeMat-Bulk: an optimized crystal structure of Nd3TlSeCl (PBE).

For the electronic total energy, the calculation gives -29.16 eV/f.u. The calculation puts the energy relative to the elements, uncorrected at -1.193 eV/atom. The magnetic moment is 0.000 μB/atom. For the volume, the calculation gives 366.5 Å³/cell.

Structure (CIF):
```
data_Nd3TlSeCl
_symmetry_space_group_name_H-M 'P 1 21/m 1'
_symmetry_Int_Tables_number 11
_symmetry_space_group_name_Hall '-P 2yb'
_cell_length_a 9.066
_cell_length_b 4.099
_cell_length_c 10.262
_cell_angle_alpha 90.00
_cell_angle_beta 106.07
_cell_angle_gamma 90.00
loop_
_atom_site_label
_atom_site_type_symbol
_atom_site_fract_x
_atom_site_fract_y
_atom_site_fract_z
Nd1 Nd 0.150 0.250 0.163
Nd2 Nd 0.330 0.750 0.903
Nd3 Nd 0.334 0.750 0.512
Tl1 Tl 0.455 0.750 0.241
Se1 Se 0.092 0.250 0.862
Cl1 Cl 0.116 0.250 0.436
```